RbLi2SnCl8 (PBE, relaxed); space group = No. 2; ΔE_f (raw) = -1252.5 meV/atom; DFT total energy = -3.2168 eV/atom; DOS(E_F) = 0.1239 states/eV per atom
1.0
-2.8533 3.8759 -4.5521
-3.5187 -4.3858 -0.8301
-7.5470 0.7804 5.2521
Rb Li Sn Cl
1 2 1 8
Cartesian
-3.7735 0.3902 2.6260
-9.3414 0.6378 1.2417
-4.5777 -0.3673 -1.3718
0.0000 0.0000 0.0000
-4.4163 -2.2640 0.1863
-11.9181 0.1594 1.4156
-4.0528 2.6587 -2.8790
-9.5027 2.5346 -0.3164
-2.0009 0.1111 -1.5456
-9.8663 -2.3882 2.7489
-7.9372 -0.8774 -0.1523
-5.9818 1.1479 0.0222

***

TbThSnHg (PBE, relaxed); space group = No. 216; ΔH_f (0 K) = -1.71 eV/f.u.; DFT total energy = -4.5171 eV/atom; DOS(E_F) = 0.8815 states/eV per atom
1.0
-3.5544 -3.2755 -2.3878
1.2888 -5.1496 -0.9404
-2.3669 -3.9311 2.8299
Tb Hg Th Sn
1 1 1 1
Cartesian
0.0000 0.0000 0.0000
-3.4743 -9.2672 -0.3737
-2.3162 -6.1781 -0.2491
-1.1581 -3.0891 -0.1246

***

Hf2TiNi2 (PBE, relaxed); space group = No. 164; ΔE to the lowest computed polymorph = 178 meV per atom; ΔH_f (0 K) = -0.83 eV/f.u.; DFT total energy = -8.0387 eV/atom; DOS(E_F) = 1.3385 states/eV per atom
1.0
-3.3035 -1.0358 2.3647
3.3543 -2.5120 -0.1311
2.2742 2.8067 4.4065
Hf Ti Ni
2 1 2
Cartesian
2.6503 -0.1497 3.6370
-0.3254 -0.5913 3.0031
0.0000 0.0000 0.0000
1.4464 -1.6355 1.3043
0.8785 0.8945 5.3358

***

Nd2Ho3ErSe6 (PBE, relaxed); space group = No. 12; ΔE_f (raw) = -1756.2 meV/atom; DFT total energy = -5.8178 eV/atom; DOS(E_F) = 0.4644 states/eV per atom
1.0
4.0837 0.0000 0.0000
0.0000 8.2855 0.2695
-2.0419 -2.4170 8.6429
Nd Ho Er Se
2 3 1 6
Cartesian
2.0419 3.8925 5.8988
0.0000 1.9761 3.0136
2.0419 4.1428 0.1348
2.0419 -0.2139 5.7308
0.0000 6.0824 3.1816
2.0419 0.0000 0.0000
0.0000 6.0684 6.0585
2.0419 4.1264 2.9556
2.0419 -0.1999 2.8539
2.0419 -0.3574 8.6349
0.0000 6.2259 0.2775
0.0000 1.7421 5.9568